4
Lattice="3.052 0.000 0.000 0.000 3.052 0.000 0.000 0.000 8.261" Properties=species:S:1:pos:R:3 comment="CrCd2Si PBE optimized geometry" formation_energy_uncorrected_mev_per_atom=491 density_g_cm3=6.580 pbc="T T T"
Cr 0.000 0.000 0.000
Cd 1.526 1.526 2.011
Cd 1.526 1.526 6.250
Si 0.000 0.000 4.131


4
Lattice="0.000 3.239 3.239 3.239 0.000 3.239 3.239 3.239 0.000" Properties=species:S:1:pos:R:3 comment="CrCdSi2 PBE optimized geometry" formation_energy_uncorrected_mev_per_atom=602 density_g_cm3=5.390 pbc="T T T"
Cr 0.000 0.000 0.000
Cd 1.619 1.619 1.619
Si 3.239 3.239 3.239
Si 4.858 4.858 4.858


Number 1: N(E_F) 0.582 states/eV/atom. Number 2: N(E_F) 0.662 states/eV/atom.